GGA-PBE K2ErPdO4, optimized geometry; formation energy (no corrections) = -13.9 eV per formula unit
1.0
-0.643 -0.595 -3.191
-0.881 -5.713 1.242
-5.692 3.330 0.526
O Pd Er K
4 1 1 2
Cartesian
-4.760 0.961 0.780
-5.755 -2.047 -0.175
-1.460 -0.930 -1.248
-1.813 -3.343 0.988
0.000 0.000 0.000
-0.762 -3.154 -0.974
-3.286 -1.191 0.884
-3.167 1.368 -1.333

=====

GGA-PBE KEr2PdO4, optimized geometry; formation energy (no corrections) = -17.2 eV per formula unit
1.0
6.478 -0.828 -1.193
-3.845 5.279 1.193
-3.845 -0.730 5.363
K O Pd Er
1 4 1 2
Cartesian
0.000 0.000 0.000
-2.677 0.249 3.208
-3.843 3.608 5.200
-2.677 2.918 1.356
0.295 1.495 2.154
-3.845 2.275 3.278
-0.606 3.363 1.639
-0.606 0.358 3.724

=====

GGA-PBE K3Pm2ErO6, optimized geometry; formation energy (no corrections) = -32.3 eV per formula unit
1.0
-1.069 -4.720 -3.812
5.609 2.532 0.271
0.088 -3.306 5.726
O Pm K Er
6 2 3 1
Cartesian
1.254 -3.256 3.732
2.112 0.060 0.941
3.374 -2.237 -1.546
-0.044 -2.281 -0.377
2.517 -5.553 1.245
4.673 -3.212 2.563
3.384 0.115 -1.089
1.157 -2.303 -2.451
0.074 -5.179 -0.277
4.554 -0.314 2.463
2.314 -2.747 1.093
0.000 0.000 0.000

=====

GGA-PBE K2PmErO4, optimized geometry; formation energy (no corrections) = -21.7 eV per formula unit
1.0
3.529 0.000 0.000
0.000 6.111 0.103
0.000 -2.141 6.241
K O Pm Er
2 4 1 1
Cartesian
0.000 1.985 3.172
1.764 -1.071 3.120
1.764 3.023 5.163
1.764 0.948 1.181
0.000 -0.144 5.095
0.000 4.114 1.249
1.764 3.056 0.052
0.000 0.000 0.000

=====

GGA-PBE K4Pr3ErO8, optimized geometry; formation energy (no corrections) = -41.9 eV per formula unit
1.0
-5.816 0.983 4.204
3.915 -2.462 5.991
2.663 5.529 -3.847
O Pr K Er
8 3 4 1
Cartesian
-0.307 1.567 5.449
3.971 3.862 1.350
-0.188 -0.324 2.815
1.069 2.482 0.899
-1.825 3.058 3.000
0.950 4.373 3.534
2.588 0.991 3.348
-3.208 0.187 4.998
0.381 2.025 3.174
3.289 1.533 1.072
-0.950 -0.740 5.098
-1.576 3.256 0.178
0.000 0.000 0.000
1.332 2.764 -1.924
-2.908 0.491 2.102
1.957 -1.231 2.996

=====

GGA-PBE K3Pr2ErO6, optimized geometry; formation energy (no corrections) = -31.7 eV per formula unit
1.0
6.240 -0.002 0.000
-3.120 5.404 0.000
-1.040 -1.801 6.301
O Pr K Er
6 2 3 1
Cartesian
1.988 0.000 1.193
-0.046 -0.080 5.114
-0.994 1.722 1.193
3.073 1.879 5.109
2.126 3.681 1.188
0.091 3.601 5.109
-0.001 3.602 0.000
3.121 1.799 0.000
4.191 -0.019 3.151
1.040 1.800 3.151
-2.111 3.620 3.151
0.000 0.000 0.000

=====

For the records above, the corresponding final energy values read -5.706, -6.562, -6.617, -6.631, -6.553, -6.571 eV per atom.